1.
{
  "formula": "LiHf2MgB",
  "functional": "PBE-GGA",
  "state": "relaxed",
  "cell": [[4.590, 0.000, 0.000], [0.000, 4.590, 0.000], [0.000, 0.000, 4.458]],
  "species": ["Li", "Hf", "Hf", "Mg", "B"],
  "frac_coords": [[0.000, 0.000, 0.000], [0.000, 0.500, 0.500], [0.500, 0.000, 0.500], [0.500, 0.500, 0.000], [0.000, 0.000, 0.500]],
  "formation_energy_ev_per_atom": 0.1251
}

---

2.
{
  "formula": "LiHf2BRh",
  "functional": "PBE-GGA",
  "state": "relaxed",
  "cell": [[4.553, 0.000, 0.000], [0.000, 4.553, 0.000], [0.000, 0.000, 3.888]],
  "species": ["Li", "Hf", "Hf", "B", "Rh"],
  "frac_coords": [[0.000, 0.000, 0.000], [0.000, 0.500, 0.000], [0.500, 0.000, 0.000], [0.500, 0.500, 0.500], [0.000, 0.000, 0.500]],
  "formation_energy_ev_per_atom": 0.9627,
  "relative_energy_ev_per_atom": 0.4706
}

---

3.
{
  "formula": "LiHf2BRh",
  "functional": "PBE-GGA",
  "state": "relaxed",
  "cell": [[5.023, 0.000, 0.000], [0.000, 5.023, 0.000], [0.000, 0.000, 4.030]],
  "species": ["Li", "Hf", "Hf", "B", "Rh"],
  "frac_coords": [[0.000, 0.000, 0.000], [0.000, 0.500, 0.500], [0.500, 0.000, 0.500], [0.500, 0.500, 0.000], [0.500, 0.500, 0.500]],
  "formation_energy_ev_per_atom": 0.4921,
  "relative_energy_ev_per_atom": 0.0000
}

---

4.
{
  "formula": "LiHf2BSb",
  "functional": "PBE-GGA",
  "state": "relaxed",
  "cell": [[4.585, 0.000, 0.000], [0.000, 4.585, 0.000], [0.000, 0.000, 4.289]],
  "species": ["Li", "Hf", "Hf", "B", "Sb"],
  "frac_coords": [[0.000, 0.000, 0.000], [0.000, 0.500, 0.500], [0.500, 0.000, 0.500], [0.000, 0.000, 0.500], [0.500, 0.500, 0.000]],
  "formation_energy_uncorrected_ev_per_fu": -1.38
}

---

no.,magnetic moment (Bohr magnetons per cell),calculated total energy (eV/atom),V (Å³ per cell)
1,0.00,-5.893,94
2,0.00,-6.207,81
3,0.00,-6.678,102
4,0.00,-6.800,90